# GGA-PBE NaMgAgSn, optimized geometry
# calculated volume = 25.65 Å³/atom
# distance to the lowest polymorph of the same formula = 10 meV/atom
# ΔE_f = -0.09 eV/atom
# energy = -10.1 eV/f.u.
data_NaMgAgSn
_chemical_formula_sum 'Na1 Mg1 Ag1 Sn1'
_cell_length_a 4.804
_cell_length_b 4.807
_cell_length_c 5.831
_cell_angle_alpha 114.33
_cell_angle_beta 90.00
_cell_angle_gamma 119.98
_symmetry_space_group_name_H-M 'P 1'
_symmetry_Int_Tables_number 1
_symmetry_space_group_name_Hall 'P 1'
loop_
_atom_site_label
_atom_site_type_symbol
_atom_site_fract_x
_atom_site_fract_y
_atom_site_fract_z
Sn1 Sn 0.251 0.502 0.481
Na1 Na 0.039 0.078 0.845
Ag1 Ag 0.539 0.079 0.346
Mg1 Mg 0.833 0.666 0.227

=====

# GGA-PBE ZnFeTc, optimized geometry
# calculated volume = 12.97 Å³/atom
# distance to the lowest polymorph of the same formula = 0 meV/atom
# ΔE_f = 0.06 eV/atom
# energy = -19.9 eV/f.u.
data_ZnFeTc
_chemical_formula_sum 'Zn1 Fe1 Tc1'
_cell_length_a 5.497
_cell_length_b 5.497
_cell_length_c 5.497
_cell_angle_alpha 151.02
_cell_angle_beta 151.02
_cell_angle_gamma 41.45
_symmetry_space_group_name_H-M 'P 1'
_symmetry_Int_Tables_number 1
_symmetry_space_group_name_Hall 'P 1'
loop_
_atom_site_label
_atom_site_type_symbol
_atom_site_fract_x
_atom_site_fract_y
_atom_site_fract_z
Fe1 Fe 0.995 0.995 0.000
Zn1 Zn 0.658 0.658 0.000
Tc1 Tc 0.347 0.347 0.000

=====

# GGA-PBE CeAl3CuPd, optimized geometry
# calculated volume = 18.73 Å³/atom
# ΔE_f = -0.35 eV/atom
# energy = -28.5 eV/f.u.
data_CeAl3CuPd
_chemical_formula_sum 'Ce2 Al6 Cu2 Pd2'
_cell_length_a 5.616
_cell_length_b 5.928
_cell_length_c 7.372
_cell_angle_alpha 113.71
_cell_angle_beta 90.00
_cell_angle_gamma 90.00
_symmetry_space_group_name_H-M 'P 1'
_symmetry_Int_Tables_number 1
_symmetry_space_group_name_Hall 'P 1'
loop_
_atom_site_label
_atom_site_type_symbol
_atom_site_fract_x
_atom_site_fract_y
_atom_site_fract_z
Al1 Al 0.000 0.282 0.000
Ce1 Ce 0.750 0.299 0.599
Al2 Al 0.500 0.718 0.000
Al3 Al 0.000 0.718 0.000
Ce2 Ce 0.250 0.701 0.401
Al4 Al 0.500 0.282 0.000
Pd1 Pd 0.250 0.901 0.803
Al5 Al 0.250 0.133 0.266
Cu1 Cu 0.250 0.362 0.723
Al6 Al 0.750 0.867 0.734
Pd2 Pd 0.750 0.099 0.197
Cu2 Cu 0.750 0.638 0.277

=====

# GGA-PBE CsK3Mo, optimized geometry
# calculated volume = 90.97 Å³/atom
# distance to the lowest polymorph of the same formula = 494 meV/atom
# ΔE_f = 1.46 eV/atom
# energy = -7.7 eV/f.u.
data_CsK3Mo
_chemical_formula_sum 'Cs1 K3 Mo1'
_cell_length_a 7.691
_cell_length_b 7.691
_cell_length_c 7.691
_cell_angle_alpha 90.00
_cell_angle_beta 90.00
_cell_angle_gamma 90.00
_symmetry_space_group_name_H-M 'P 1'
_symmetry_Int_Tables_number 1
_symmetry_space_group_name_Hall 'P 1'
loop_
_atom_site_label
_atom_site_type_symbol
_atom_site_fract_x
_atom_site_fract_y
_atom_site_fract_z
K1 K 0.500 0.000 0.000
K2 K 0.000 0.000 0.500
K3 K 0.000 0.500 0.000
Cs1 Cs 0.000 0.000 0.000
Mo1 Mo 0.500 0.500 0.500

=====

# GGA-PBE Ag4Au, optimized geometry
# calculated volume = 17.92 Å³/atom
# distance to the lowest polymorph of the same formula = 4 meV/atom
# ΔE_f = -0.02 eV/atom
# energy = -14.8 eV/f.u.
data_Ag4Au
_chemical_formula_sum 'Ag4 Au1'
_cell_length_a 2.908
_cell_length_b 5.084
_cell_length_c 6.645
_cell_angle_alpha 105.59
_cell_angle_beta 77.36
_cell_angle_gamma 106.62
_symmetry_space_group_name_H-M 'P 1'
_symmetry_Int_Tables_number 1
_symmetry_space_group_name_Hall 'P 1'
loop_
_atom_site_label
_atom_site_type_symbol
_atom_site_fract_x
_atom_site_fract_y
_atom_site_fract_z
Ag1 Ag 0.199 0.599 0.201
Au1 Au 0.600 0.800 0.600
Ag2 Ag 0.001 0.001 0.999
Ag3 Ag 0.399 0.198 0.399
Ag4 Ag 0.801 0.402 0.801

=====

# GGA-PBE KSc3Te, optimized geometry
# calculated volume = 26.83 Å³/atom
# energy relative to the elements, uncorrected = 1.2164 eV/atom
# distance to the lowest polymorph of the same formula = 972 meV/atom
# energy = -17.2 eV/f.u.
data_KSc3Te
_chemical_formula_sum 'K1 Sc3 Te1'
_cell_length_a 5.119
_cell_length_b 5.119
_cell_length_c 5.119
_cell_angle_alpha 90.00
_cell_angle_beta 90.00
_cell_angle_gamma 90.00
_symmetry_space_group_name_H-M 'P 1'
_symmetry_Int_Tables_number 1
_symmetry_space_group_name_Hall 'P 1'
loop_
_atom_site_label
_atom_site_type_symbol
_atom_site_fract_x
_atom_site_fract_y
_atom_site_fract_z
Te1 Te 0.500 0.500 0.500
K1 K 0.000 0.000 0.000
Sc1 Sc 0.500 0.000 0.000
Sc2 Sc 0.000 0.500 0.000
Sc3 Sc 0.000 0.000 0.500

=====

# GGA-PBE NaPd2PtN, optimized geometry
# calculated volume = 15.17 Å³/atom
# energy relative to the elements, uncorrected = 0.1083 eV/atom
# energy = -25.5 eV/f.u.
data_NaPd2PtN
_chemical_formula_sum 'Na1 Pd2 Pt1 N1'
_cell_length_a 4.363
_cell_length_b 4.363
_cell_length_c 3.985
_cell_angle_alpha 90.00
_cell_angle_beta 90.00
_cell_angle_gamma 90.00
_symmetry_space_group_name_H-M 'P 1'
_symmetry_Int_Tables_number 1
_symmetry_space_group_name_Hall 'P 1'
loop_
_atom_site_label
_atom_site_type_symbol
_atom_site_fract_x
_atom_site_fract_y
_atom_site_fract_z
Pd1 Pd 0.000 0.500 0.000
Pt1 Pt 0.000 0.000 0.500
N1 N 0.000 0.000 0.000
Na1 Na 0.500 0.500 0.500
Pd2 Pd 0.500 0.000 0.000

=====

# GGA-PBE Er6Hg3C2S, optimized geometry
# calculated volume = 22.20 Å³/atom
# energy relative to the elements, uncorrected = -0.7021 eV/atom
# energy = -59.3 eV/f.u.
data_Er6Hg3C2S
_chemical_formula_sum 'Er6 Hg3 C2 S1'
_cell_length_a 6.352
_cell_length_b 6.352
_cell_length_c 7.897
_cell_angle_alpha 97.63
_cell_angle_beta 97.63
_cell_angle_gamma 119.90
_symmetry_space_group_name_H-M 'P 1'
_symmetry_Int_Tables_number 1
_symmetry_space_group_name_Hall 'P 1'
loop_
_atom_site_label
_atom_site_type_symbol
_atom_site_fract_x
_atom_site_fract_y
_atom_site_fract_z
Er1 Er 0.299 0.299 0.818
Er2 Er 0.422 0.061 0.187
Hg1 Hg 0.847 0.153 0.500
Er3 Er 0.701 0.701 0.182
C1 C 0.668 0.332 0.000
Hg2 Hg 0.500 0.500 0.500
Hg3 Hg 0.153 0.847 0.500
S1 S 0.000 0.000 0.000
C2 C 0.332 0.668 0.000
Er4 Er 0.061 0.422 0.187
Er5 Er 0.939 0.578 0.813
Er6 Er 0.578 0.939 0.813

=====

# GGA-PBE Tl12In6Sb, optimized geometry
# calculated volume = 30.94 Å³/atom
# energy relative to the elements, uncorrected = 0.0510 eV/atom
# energy = -48.0 eV/f.u.
data_Tl12In6Sb
_chemical_formula_sum 'Tl12 In6 Sb1'
_cell_length_a 8.505
_cell_length_b 8.505
_cell_length_c 8.505
_cell_angle_alpha 99.29
_cell_angle_beta 99.29
_cell_angle_gamma 99.29
_symmetry_space_group_name_H-M 'P 1'
_symmetry_Int_Tables_number 1
_symmetry_space_group_name_Hall 'P 1'
loop_
_atom_site_label
_atom_site_type_symbol
_atom_site_fract_x
_atom_site_fract_y
_atom_site_fract_z
Tl1 Tl 0.339 0.341 0.076
In1 In 0.747 0.507 0.258
In2 In 0.493 0.742 0.253
Tl2 Tl 0.661 0.659 0.924
In3 In 0.258 0.747 0.507
Tl3 Tl 0.116 0.090 0.668
Tl4 Tl 0.924 0.661 0.659
Tl5 Tl 0.341 0.076 0.339
Tl6 Tl 0.332 0.884 0.910
In4 In 0.253 0.493 0.742
Tl7 Tl 0.090 0.668 0.116
Tl8 Tl 0.668 0.116 0.090
Tl9 Tl 0.884 0.910 0.332
Tl10 Tl 0.659 0.924 0.661
In5 In 0.742 0.253 0.493
Tl11 Tl 0.910 0.332 0.884
In6 In 0.507 0.258 0.747
Tl12 Tl 0.076 0.339 0.341
Sb1 Sb 0.000 0.000 0.000

=====

# GGA-PBE LaNi2I2, optimized geometry
# calculated volume = 23.65 Å³/atom
# energy relative to the elements, uncorrected = 0.1525 eV/atom
# distance to the lowest polymorph of the same formula = 317 meV/atom
# energy = -18.8 eV/f.u.
data_LaNi2I2
_chemical_formula_sum 'La2 Ni4 I4'
_cell_length_a 8.058
_cell_length_b 8.058
_cell_length_c 3.642
_cell_angle_alpha 90.00
_cell_angle_beta 90.00
_cell_angle_gamma 90.00
_symmetry_space_group_name_H-M 'P 1'
_symmetry_Int_Tables_number 1
_symmetry_space_group_name_Hall 'P 1'
loop_
_atom_site_label
_atom_site_type_symbol
_atom_site_fract_x
_atom_site_fract_y
_atom_site_fract_z
Ni1 Ni 0.614 0.886 0.500
La1 La 0.000 0.000 0.000
I1 I 0.344 0.844 0.000
I2 I 0.656 0.156 0.000
Ni2 Ni 0.114 0.614 0.500
Ni3 Ni 0.386 0.114 0.500
La2 La 0.500 0.500 0.000
Ni4 Ni 0.886 0.386 0.500
I3 I 0.844 0.656 0.000
I4 I 0.156 0.344 0.000

=====

# GGA-PBE RbCu2Ag, optimized geometry
# calculated volume = 22.50 Å³/atom
# distance to the lowest polymorph of the same formula = 408 meV/atom
# ΔE_f = 0.74 eV/atom
# energy = -9.1 eV/f.u.
data_RbCu2Ag
_chemical_formula_sum 'Rb1 Cu2 Ag1'
_cell_length_a 5.030
_cell_length_b 5.030
_cell_length_c 5.030
_cell_angle_alpha 60.00
_cell_angle_beta 60.00
_cell_angle_gamma 60.00
_symmetry_space_group_name_H-M 'P 1'
_symmetry_Int_Tables_number 1
_symmetry_space_group_name_Hall 'P 1'
loop_
_atom_site_label
_atom_site_type_symbol
_atom_site_fract_x
_atom_site_fract_y
_atom_site_fract_z
Cu1 Cu 0.750 0.750 0.750
Cu2 Cu 0.250 0.250 0.250
Rb1 Rb 0.000 0.000 0.000
Ag1 Ag 0.500 0.500 0.500

=====

# GGA-PBE Al5Hg, optimized geometry
# calculated volume = 20.00 Å³/atom
# distance to the lowest polymorph of the same formula = 124 meV/atom
# ΔE_f = 0.21 eV/atom
# energy = -17.7 eV/f.u.
data_Al5Hg
_chemical_formula_sum 'Al5 Hg1'
_cell_length_a 5.605
_cell_length_b 5.605
_cell_length_c 4.410
_cell_angle_alpha 90.00
_cell_angle_beta 90.00
_cell_angle_gamma 120.00
_symmetry_space_group_name_H-M 'P 1'
_symmetry_Int_Tables_number 1
_symmetry_space_group_name_Hall 'P 1'
loop_
_atom_site_label
_atom_site_type_symbol
_atom_site_fract_x
_atom_site_fract_y
_atom_site_fract_z
Al1 Al 0.500 0.000 0.500
Al2 Al 0.000 0.500 0.500
Al3 Al 0.500 0.500 0.500
Al4 Al 0.333 0.667 0.000
Al5 Al 0.667 0.333 0.000
Hg1 Hg 0.000 0.000 0.000